# 1
DFT (GGA-PBE) results for LiVP2S after structural relaxation.

Lattice parameters (Å, degrees): 4.5879 4.5879 4.5587 90.00 90.00 90.00
Closest atoms and distances in Å follow each position.
Fractional coordinates of all 5 atoms:
Li (0.0000, 0.0000, 0.0000)  8 P 3.23, 4 S 3.24
V (0.5000, 0.5000, 0.5000)  2 S 2.28, 4 P 2.29
P (0.0000, 0.5000, 0.5000)  2 V 2.29
P (0.5000, 0.0000, 0.5000)  2 V 2.29
S (0.5000, 0.5000, 0.0000)  2 V 2.28

total magnetization: 0.00 μB per formula unit
total energy: -5.278 eV/atom
formation energy (no corrections): -0.08 eV/atom
density of states at the Fermi level: 3.102 states/eV/f.u.
space-group type: P4/mmm
excess energy over the best structure of this formula in the dataset: 0 meV per atom



# 2
DFT (GGA-PBE) results for LiP2WS after structural relaxation.

Lattice parameters (Å, degrees): 4.1897 4.1897 4.3834 90.00 90.00 90.00
Closest atoms and distances in Å follow each position.
Fractional coordinates of all 5 atoms:
Li (0.0000, 0.0000, 0.0000)  4 P 2.09, 2 S 2.19
P (0.0000, 0.5000, 0.0000)  2 Li 2.09
P (0.5000, 0.0000, 0.0000)  2 Li 2.09
W (0.5000, 0.5000, 0.5000)  4 S 2.96, 8 P 3.03
S (0.0000, 0.0000, 0.5000)  2 Li 2.19

total magnetization: 2.01 μB per formula unit
total energy: -4.808 eV/atom
formation energy (no corrections): 1.15 eV/atom
density of states at the Fermi level: 3.961 states/eV/f.u.
space-group type: P4/mmm
excess energy over the best structure of this formula in the dataset: 1049 meV per atom



# 3
DFT (GGA-PBE) results for LiP2WS after structural relaxation.

Lattice parameters (Å, degrees): 4.7249 4.7249 4.7723 90.00 90.00 90.00
Closest atoms and distances in Å follow each position.
Fractional coordinates of all 5 atoms:
Li (0.0000, 0.0000, 0.0000)  4 S 3.34, 8 P 3.36
P (0.0000, 0.5000, 0.5000)  2 W 2.36
P (0.5000, 0.0000, 0.5000)  2 W 2.36
W (0.5000, 0.5000, 0.5000)  4 P 2.36, 2 S 2.39
S (0.5000, 0.5000, 0.0000)  2 W 2.39

total magnetization: 0.00 μB per formula unit
total energy: -5.857 eV/atom
formation energy (no corrections): 0.11 eV/atom
density of states at the Fermi level: 3.525 states/eV/f.u.
space-group type: P4/mmm
excess energy over the best structure of this formula in the dataset: 0 meV per atom



# 4
DFT (GGA-PBE) results for LiZnP2S after structural relaxation.

Lattice parameters (Å, degrees): 4.6037 4.6037 5.0030 90.00 90.00 90.00
Closest atoms and distances in Å follow each position.
Fractional coordinates of all 5 atoms:
Li (0.0000, 0.0000, 0.0000)  4 S 3.26, 8 P 3.40
Zn (0.5000, 0.5000, 0.5000)  4 P 2.30, 2 S 2.50
P (0.0000, 0.5000, 0.5000)  2 Zn 2.30
P (0.5000, 0.0000, 0.5000)  2 Zn 2.30
S (0.5000, 0.5000, 0.0000)  2 Zn 2.50

total magnetization: 0.68 μB per formula unit
total energy: -3.094 eV/atom
formation energy (no corrections): 0.53 eV/atom
density of states at the Fermi level: 3.738 states/eV/f.u.
space-group type: P4/mmm
excess energy over the best structure of this formula in the dataset: 0 meV per atom



# 5
DFT (GGA-PBE) results for LiZnP2S6 after structural relaxation.

Lattice parameters (Å, degrees): 8.6966 8.6966 6.8960 111.44 111.44 85.00
Closest atoms and distances in Å follow each position.
Fractional coordinates of all 20 atoms:
Li (0.2129, 0.7871, 0.7500)  4 S 2.52-2.66
Li (0.7871, 0.2129, 0.2500)  4 S 2.52-2.66
Zn (0.1916, 0.8084, 0.2500)  4 S 2.35-2.44
Zn (0.8084, 0.1916, 0.7500)  4 S 2.35-2.44
P (0.2077, 0.3727, 0.2434)  3 S 2.05-2.07
P (0.3727, 0.2077, 0.7434)  3 S 2.05-2.07
P (0.6273, 0.7923, 0.2566)  3 S 2.05-2.07
P (0.7923, 0.6273, 0.7566)  3 S 2.05-2.07
S (0.0282, 0.1850, 0.0907)  1 P 2.05
S (0.1108, 0.6024, 0.3447)  1 P 2.07
S (0.1850, 0.0282, 0.5907)  1 P 2.05
S (0.3288, 0.3941, 0.0000)  1 P 2.05
S (0.3941, 0.3288, 0.5000)  1 P 2.05
S (0.3976, 0.8892, 0.1553)  1 P 2.07
S (0.6024, 0.1108, 0.8447)  1 P 2.07
S (0.6059, 0.6712, 0.5000)  1 P 2.05
S (0.6712, 0.6059, 0.0000)  1 P 2.05
S (0.8150, 0.9718, 0.4093)  1 P 2.05
S (0.8892, 0.3976, 0.6553)  1 P 2.07
S (0.9718, 0.8150, 0.9093)  1 P 2.05

total magnetization: 0.00 μB per formula unit
total energy: -4.224 eV/atom
formation energy (no corrections): -0.35 eV/atom
density of states at the Fermi level: 2.372 states/eV/f.u.
space-group type: C2/c



# 6
DFT (GGA-PBE) results for LiZnPS2 after structural relaxation.

Lattice parameters (Å, degrees): 4.8639 4.8639 4.5044 90.00 90.00 90.00
Closest atoms and distances in Å follow each position.
Fractional coordinates of all 5 atoms:
Li (0.0000, 0.0000, 0.0000)  8 S 3.31, 4 P 3.44
Zn (0.5000, 0.5000, 0.5000)  2 P 2.25, 4 S 2.43
P (0.5000, 0.5000, 0.0000)  2 Zn 2.25
S (0.0000, 0.5000, 0.5000)  2 Zn 2.43
S (0.5000, 0.0000, 0.5000)  2 Zn 2.43

total magnetization: 0.00 μB per formula unit
total energy: -3.038 eV/atom
formation energy (no corrections): 0.33 eV/atom
density of states at the Fermi level: 3.488 states/eV/f.u.
space-group type: P4/mmm
excess energy over the best structure of this formula in the dataset: 0 meV per atom